Entry 1:
Crystalline UGaPd at its relaxed geometry, computed with GGA-PBE.

Summary:
SG: No. 189
uncorrected energy: -0.50020 Ry per atom

POSCAR file:
```
UGaPd
1.0
6.5643 0.0000 0.0000
-3.2821 5.6848 0.0000
0.0000 0.0000 4.6164
U Ga Pd
3 3 3
Direct
0.0000 0.5286 0.0000 U
0.4714 0.4714 0.0000 U
0.5286 0.0000 0.0000 U
0.0000 0.0000 0.0000 Ga
0.3333 0.6667 0.5000 Ga
0.6667 0.3333 0.5000 Ga
0.0000 0.2403 0.5000 Pd
0.2403 0.0000 0.5000 Pd
0.7597 0.7597 0.5000 Pd
```


Entry 2:
Crystalline U4Ga20Pd11 at its relaxed geometry, computed with GGA-PBE.

Summary:
SG: No. 12
uncorrected energy: -0.37687 Ry per atom

POSCAR file:
```
U4Ga20Pd11
1.0
10.7337 -2.1626 0.0000
10.7337 2.1626 0.0000
-9.1036 0.0000 13.0842
U Ga Pd
4 20 11
Direct
0.1188 0.1188 0.3325 U
0.2257 0.2257 0.8195 U
0.7743 0.7743 0.1805 U
0.8812 0.8812 0.6675 U
0.0053 0.0053 0.0879 Ga
0.0671 0.0671 0.8068 Ga
0.1040 0.1040 0.5460 Ga
0.1989 0.1989 0.0068 Ga
0.2566 0.2566 0.2996 Ga
0.3011 0.3011 0.5027 Ga
0.3663 0.3663 0.7968 Ga
0.3871 0.3871 0.3038 Ga
0.3968 0.3968 0.9974 Ga
0.4563 0.4563 0.6236 Ga
0.5437 0.5437 0.3764 Ga
0.6032 0.6032 0.0026 Ga
0.6129 0.6129 0.6962 Ga
0.6337 0.6337 0.2032 Ga
0.6989 0.6989 0.4973 Ga
0.7434 0.7434 0.7004 Ga
0.8011 0.8011 0.9932 Ga
0.8960 0.8960 0.4540 Ga
0.9329 0.9329 0.1932 Ga
0.9947 0.9947 0.9121 Ga
0.0281 0.0281 0.6267 Pd
0.1349 0.1349 0.1102 Pd
0.2409 0.2409 0.6082 Pd
0.3438 0.3438 0.1093 Pd
0.4934 0.4934 0.8132 Pd
0.5000 0.5000 0.5000 Pd
0.5066 0.5066 0.1868 Pd
0.6562 0.6562 0.8907 Pd
0.7591 0.7591 0.3918 Pd
0.8650 0.8650 0.8898 Pd
0.9719 0.9719 0.3733 Pd
```


Entry 3:
Crystalline UGaPd at its relaxed geometry, computed with GGA-PBE.

Summary:
SG: No. 189
uncorrected energy: -0.50549 Ry per atom

POSCAR file:
```
UGaPd
1.0
6.8709 0.0000 0.0000
-3.4354 5.9504 0.0000
0.0000 0.0000 4.2511
U Ga Pd
3 3 3
Direct
0.0000 0.5695 0.0000 U
0.4305 0.4305 0.0000 U
0.5695 0.0000 0.0000 U
0.0000 0.2374 0.5000 Ga
0.2374 0.0000 0.5000 Ga
0.7626 0.7626 0.5000 Ga
0.0000 0.0000 0.0000 Pd
0.3333 0.6667 0.5000 Pd
0.6667 0.3333 0.5000 Pd
```


Entry 4:
Crystalline Ga2PdW8 at its relaxed geometry, computed with GGA-PBE.

Summary:
SG: No. 12
uncorrected energy: -0.70655 Ry per atom

POSCAR file:
```
Ga2PdW8
1.0
5.9694 -3.6400 0.0000
5.9694 3.6400 0.0000
-1.5388 0.0000 4.8383
Ga Pd W
2 1 8
Direct
0.1925 0.1925 0.1812 Ga
0.8075 0.8075 0.8188 Ga
0.0000 0.0000 0.5000 Pd
0.1892 0.5814 0.5691 W
0.2283 0.2283 0.7099 W
0.4186 0.8108 0.4309 W
0.4242 0.4242 0.1591 W
0.5758 0.5758 0.8409 W
0.5814 0.1892 0.5691 W
0.7717 0.7717 0.2901 W
0.8108 0.4186 0.4309 W
```


Entry 5:
Crystalline GaPdW at its relaxed geometry, computed with GGA-PBE.

Summary:
SG: No. 216
uncorrected energy: -0.47399 Ry per atom

POSCAR file:
```
GaPdW
1.0
6.0565 0.0000 0.0000
0.0000 6.0565 0.0000
0.0000 0.0000 6.0565
Ga Pd W
4 4 4
Direct
0.0000 0.0000 0.0000 Ga
0.0000 0.5000 0.5000 Ga
0.5000 0.0000 0.5000 Ga
0.5000 0.5000 0.0000 Ga
0.0000 0.0000 0.5000 Pd
0.0000 0.5000 0.0000 Pd
0.5000 0.0000 0.0000 Pd
0.5000 0.5000 0.5000 Pd
0.2500 0.2500 0.2500 W
0.2500 0.7500 0.7500 W
0.7500 0.2500 0.7500 W
0.7500 0.7500 0.2500 W
```


Entry 6:
Crystalline Y2GaPd at its relaxed geometry, computed with GGA-PBE.

Summary:
SG: No. 216
uncorrected energy: -0.41437 Ry per atom

POSCAR file:
```
Y2GaPd
1.0
6.9601 0.0000 0.0000
0.0000 6.9601 0.0000
0.0000 0.0000 6.9601
Y Ga Pd
8 4 4
Direct
0.0000 0.0000 0.0000 Y
0.0000 0.5000 0.5000 Y
0.2500 0.2500 0.2500 Y
0.2500 0.7500 0.7500 Y
0.5000 0.0000 0.5000 Y
0.5000 0.5000 0.0000 Y
0.7500 0.2500 0.7500 Y
0.7500 0.7500 0.2500 Y
0.0000 0.0000 0.5000 Ga
0.0000 0.5000 0.0000 Ga
0.5000 0.0000 0.0000 Ga
0.5000 0.5000 0.5000 Ga
0.2500 0.2500 0.7500 Pd
0.2500 0.7500 0.2500 Pd
0.7500 0.2500 0.2500 Pd
0.7500 0.7500 0.7500 Pd
```


Entry 7:
Crystalline Y2Ga2Pd at its relaxed geometry, computed with GGA-PBE.

Summary:
SG: No. 127
uncorrected energy: -0.41043 Ry per atom

POSCAR file:
```
Y2Ga2Pd
1.0
6.9963 0.0000 0.0000
0.0000 6.9963 0.0000
0.0000 0.0000 4.3494
Y Ga Pd
4 4 2
Direct
0.1709 0.3291 0.0000 Y
0.3291 0.8291 0.0000 Y
0.6709 0.1709 0.0000 Y
0.8291 0.6709 0.0000 Y
0.1332 0.6332 0.5000 Ga
0.3668 0.1332 0.5000 Ga
0.6332 0.8668 0.5000 Ga
0.8668 0.3668 0.5000 Ga
0.0000 0.0000 0.5000 Pd
0.5000 0.5000 0.5000 Pd
```


Entry 8:
Crystalline YGa2Pd at its relaxed geometry, computed with GGA-PBE.

Summary:
SG: No. 216
uncorrected energy: -0.36892 Ry per atom

POSCAR file:
```
YGa2Pd
1.0
6.7088 0.0000 0.0000
0.0000 6.7088 0.0000
0.0000 0.0000 6.7088
Y Ga Pd
4 8 4
Direct
0.0000 0.0000 0.0000 Y
0.0000 0.5000 0.5000 Y
0.5000 0.0000 0.5000 Y
0.5000 0.5000 0.0000 Y
0.0000 0.0000 0.5000 Ga
0.0000 0.5000 0.0000 Ga
0.2500 0.2500 0.2500 Ga
0.2500 0.7500 0.7500 Ga
0.5000 0.0000 0.0000 Ga
0.5000 0.5000 0.5000 Ga
0.7500 0.2500 0.7500 Ga
0.7500 0.7500 0.2500 Ga
0.2500 0.2500 0.7500 Pd
0.2500 0.7500 0.2500 Pd
0.7500 0.2500 0.2500 Pd
0.7500 0.7500 0.7500 Pd
```


Q: The lowest uncorrected energy belongs to which entry?
A: Ga2PdW8


Q: Among the records above, which one has the lowest uncorrected energy?
A: Ga2PdW8